Record 1
# Zn4Fe3 (GGA-PBE, optimized geometry)
data_Zn4Fe3
_chemical_formula_sum 'Zn8 Fe6'
_space_group_name_H-M_alt 'P 1'
_space_group_IT_number 1
_cell_length_a 6.989
_cell_length_b 6.989
_cell_length_c 4.244
_cell_angle_alpha 90.00
_cell_angle_beta 90.00
_cell_angle_gamma 60.00
loop_
_space_group_symop_operation_xyz
'x,y,z'
loop_
_atom_site_label
_atom_site_type_symbol
_atom_site_fract_x
_atom_site_fract_y
_atom_site_fract_z
_atom_site_occupancy
Fe1 Fe 0.694 0.442 0.000 1
Fe2 Fe 0.299 0.578 0.000 1
Fe3 Fe 0.435 0.837 0.000 1
Fe4 Fe 0.517 0.401 0.500 1
Fe5 Fe 0.653 0.660 0.500 1
Fe6 Fe 0.258 0.796 0.500 1
Zn1 Zn 0.565 0.153 0.000 1
Zn2 Zn 0.143 0.286 0.000 1
Zn3 Zn 0.854 0.707 0.000 1
Zn4 Zn 0.011 0.996 0.000 1
Zn5 Zn 0.099 0.531 0.500 1
Zn6 Zn 0.388 0.085 0.500 1
Zn7 Zn 0.942 0.242 0.500 1
Zn8 Zn 0.809 0.952 0.500 1
# - E above lowest polymorph (meV/atom) = 10


Record 2
# ZnFe (GGA-PBE, optimized geometry)
data_ZnFe
_chemical_formula_sum 'Zn4 Fe4'
_space_group_name_H-M_alt 'P 1'
_space_group_IT_number 1
_cell_length_a 4.438
_cell_length_b 5.347
_cell_length_c 4.250
_cell_angle_alpha 90.00
_cell_angle_beta 90.00
_cell_angle_gamma 90.00
loop_
_space_group_symop_operation_xyz
'x,y,z'
loop_
_atom_site_label
_atom_site_type_symbol
_atom_site_fract_x
_atom_site_fract_y
_atom_site_fract_z
_atom_site_occupancy
Fe1 Fe 0.007 0.518 0.000 1
Fe2 Fe 0.507 0.732 0.000 1
Fe3 Fe 0.326 0.518 0.500 1
Fe4 Fe 0.826 0.732 0.500 1
Zn1 Zn 0.497 0.256 0.000 1
Zn2 Zn 0.997 0.994 0.000 1
Zn3 Zn 0.836 0.256 0.500 1
Zn4 Zn 0.336 0.994 0.500 1
# - calculated total energy (eV per atom) = -4.741


Record 3
# Zn2Fe (GGA-PBE, optimized geometry)
data_Zn2Fe
_chemical_formula_sum 'Zn8 Fe4'
_space_group_name_H-M_alt 'P 1'
_space_group_IT_number 1
_cell_length_a 4.577
_cell_length_b 7.940
_cell_length_c 4.266
_cell_angle_alpha 90.00
_cell_angle_beta 90.00
_cell_angle_gamma 90.00
loop_
_space_group_symop_operation_xyz
'x,y,z'
loop_
_atom_site_label
_atom_site_type_symbol
_atom_site_fract_x
_atom_site_fract_y
_atom_site_fract_z
_atom_site_occupancy
Fe1 Fe 0.989 0.003 0.000 1
Fe2 Fe 0.989 0.664 0.000 1
Fe3 Fe 0.845 0.164 0.500 1
Fe4 Fe 0.845 0.503 0.500 1
Zn1 Zn 0.504 0.160 0.000 1
Zn2 Zn 0.987 0.333 0.000 1
Zn3 Zn 0.504 0.506 0.000 1
Zn4 Zn 0.495 0.833 0.000 1
Zn5 Zn 0.329 0.006 0.500 1
Zn6 Zn 0.338 0.333 0.500 1
Zn7 Zn 0.329 0.660 0.500 1
Zn8 Zn 0.846 0.833 0.500 1
# - calculated total energy (eV per atom) = -3.567


Record 4
# ZnFe (GGA-PBE, optimized geometry)
data_ZnFe
_chemical_formula_sum 'Zn6 Fe6'
_space_group_name_H-M_alt 'P 1'
_space_group_IT_number 1
_cell_length_a 4.408
_cell_length_b 7.978
_cell_length_c 4.269
_cell_angle_alpha 90.00
_cell_angle_beta 90.00
_cell_angle_gamma 90.01
loop_
_space_group_symop_operation_xyz
'x,y,z'
loop_
_atom_site_label
_atom_site_type_symbol
_atom_site_fract_x
_atom_site_fract_y
_atom_site_fract_z
_atom_site_occupancy
Fe1 Fe 0.751 0.011 0.000 1
Fe2 Fe 0.251 0.156 0.000 1
Fe3 Fe 0.409 0.008 0.500 1
Fe4 Fe 0.909 0.159 0.500 1
Fe5 Fe 0.916 0.502 0.500 1
Fe6 Fe 0.416 0.664 0.500 1
Zn1 Zn 0.764 0.329 0.000 1
Zn2 Zn 0.252 0.501 0.000 1
Zn3 Zn 0.752 0.665 0.000 1
Zn4 Zn 0.263 0.838 0.000 1
Zn5 Zn 0.409 0.332 0.500 1
Zn6 Zn 0.909 0.834 0.500 1
# - calculated total energy (eV per atom) = -4.739


Record 5
# Zn2Fe (GGA-PBE, optimized geometry)
data_Zn2Fe
_chemical_formula_sum 'Zn4 Fe2'
_space_group_name_H-M_alt 'P 1'
_space_group_IT_number 1
_cell_length_a 4.571
_cell_length_b 4.571
_cell_length_c 4.269
_cell_angle_alpha 90.00
_cell_angle_beta 90.00
_cell_angle_gamma 60.00
loop_
_space_group_symop_operation_xyz
'x,y,z'
loop_
_atom_site_label
_atom_site_type_symbol
_atom_site_fract_x
_atom_site_fract_y
_atom_site_fract_z
_atom_site_occupancy
Fe1 Fe 0.000 0.000 0.000 1
Fe2 Fe 0.333 0.333 0.000 1
Zn1 Zn 0.667 0.667 0.000 1
Zn2 Zn 0.667 0.014 0.500 1
Zn3 Zn 0.014 0.319 0.500 1
Zn4 Zn 0.319 0.667 0.500 1
# - calculated total energy (eV per atom) = -3.589


Record 6
# ZnFe (GGA-PBE, optimized geometry)
data_ZnFe
_chemical_formula_sum 'Zn6 Fe6'
_space_group_name_H-M_alt 'P 1'
_space_group_IT_number 1
_cell_length_a 7.000
_cell_length_b 5.204
_cell_length_c 4.210
_cell_angle_alpha 90.00
_cell_angle_beta 90.00
_cell_angle_gamma 101.68
loop_
_space_group_symop_operation_xyz
'x,y,z'
loop_
_atom_site_label
_atom_site_type_symbol
_atom_site_fract_x
_atom_site_fract_y
_atom_site_fract_z
_atom_site_occupancy
Fe1 Fe 0.164 0.166 0.000 1
Fe2 Fe 0.830 0.357 0.000 1
Fe3 Fe 0.504 0.510 0.000 1
Fe4 Fe 0.718 0.545 0.500 1
Fe5 Fe 0.392 0.699 0.500 1
Fe6 Fe 0.058 0.889 0.500 1
Zn1 Zn 0.499 0.007 0.000 1
Zn2 Zn 0.174 0.670 0.000 1
Zn3 Zn 0.838 0.839 0.000 1
Zn4 Zn 0.724 0.048 0.500 1
Zn5 Zn 0.384 0.216 0.500 1
Zn6 Zn 0.049 0.386 0.500 1
# - calculated total energy (eV per atom) = -4.731


Record 7
# ZrZn20Fe2 (GGA-PBE, optimized geometry)
data_ZrZn20Fe2
_chemical_formula_sum 'Zr2 Zn40 Fe4'
_space_group_name_H-M_alt 'P 1'
_space_group_IT_number 1
_cell_length_a 9.808
_cell_length_b 9.808
_cell_length_c 9.808
_cell_angle_alpha 60.00
_cell_angle_beta 60.00
_cell_angle_gamma 60.00
loop_
_space_group_symop_operation_xyz
'x,y,z'
loop_
_atom_site_label
_atom_site_type_symbol
_atom_site_fract_x
_atom_site_fract_y
_atom_site_fract_z
_atom_site_occupancy
Fe1 Fe 0.125 0.125 0.125 1
Fe2 Fe 0.625 0.125 0.125 1
Fe3 Fe 0.125 0.625 0.125 1
Fe4 Fe 0.125 0.125 0.625 1
Zn1 Zn 0.386 0.114 0.114 1
Zn2 Zn 0.114 0.386 0.114 1
Zn3 Zn 0.386 0.386 0.114 1
Zn4 Zn 0.625 0.625 0.125 1
Zn5 Zn 0.864 0.136 0.136 1
Zn6 Zn 0.136 0.864 0.136 1
Zn7 Zn 0.864 0.864 0.136 1
Zn8 Zn 0.300 0.569 0.300 1
Zn9 Zn 0.569 0.300 0.300 1
Zn10 Zn 0.831 0.300 0.300 1
Zn11 Zn 0.831 0.569 0.300 1
Zn12 Zn 0.300 0.831 0.300 1
Zn13 Zn 0.569 0.831 0.300 1
Zn14 Zn 0.114 0.114 0.386 1
Zn15 Zn 0.386 0.114 0.386 1
Zn16 Zn 0.114 0.386 0.386 1
Zn17 Zn 0.950 0.681 0.419 1
Zn18 Zn 0.681 0.950 0.419 1
Zn19 Zn 0.950 0.950 0.419 1
Zn20 Zn 0.300 0.300 0.569 1
Zn21 Zn 0.831 0.300 0.569 1
Zn22 Zn 0.300 0.831 0.569 1
Zn23 Zn 0.625 0.125 0.625 1
Zn24 Zn 0.125 0.625 0.625 1
Zn25 Zn 0.625 0.625 0.625 1
Zn26 Zn 0.950 0.419 0.681 1
Zn27 Zn 0.419 0.950 0.681 1
Zn28 Zn 0.950 0.950 0.681 1
Zn29 Zn 0.300 0.569 0.831 1
Zn30 Zn 0.569 0.300 0.831 1
Zn31 Zn 0.300 0.300 0.831 1
Zn32 Zn 0.136 0.136 0.864 1
Zn33 Zn 0.864 0.136 0.864 1
Zn34 Zn 0.136 0.864 0.864 1
Zn35 Zn 0.950 0.419 0.950 1
Zn36 Zn 0.681 0.419 0.950 1
Zn37 Zn 0.419 0.681 0.950 1
Zn38 Zn 0.950 0.681 0.950 1
Zn39 Zn 0.681 0.950 0.950 1
Zn40 Zn 0.419 0.950 0.950 1
Zr1 Zr 0.500 0.500 0.500 1
Zr2 Zr 0.750 0.750 0.750 1
# - calculated total energy (eV per atom) = -2.327


Record 8
# ZrFe (GGA-PBE, optimized geometry)
data_ZrFe
_chemical_formula_sum 'Zr8 Fe8'
_space_group_name_H-M_alt 'P 1'
_space_group_IT_number 1
_cell_length_a 4.479
_cell_length_b 12.779
_cell_length_c 4.378
_cell_angle_alpha 90.00
_cell_angle_beta 90.00
_cell_angle_gamma 90.00
loop_
_space_group_symop_operation_xyz
'x,y,z'
loop_
_atom_site_label
_atom_site_type_symbol
_atom_site_fract_x
_atom_site_fract_y
_atom_site_fract_z
_atom_site_occupancy
Fe1 Fe 0.911 0.255 0.000 1
Fe2 Fe 0.481 0.375 0.000 1
Fe3 Fe 0.911 0.495 0.000 1
Fe4 Fe 0.442 0.875 0.000 1
Fe5 Fe 0.892 0.375 0.500 1
Fe6 Fe 0.422 0.755 0.500 1
Fe7 Fe 0.852 0.875 0.500 1
Fe8 Fe 0.422 0.995 0.500 1
Zr1 Zr 0.424 0.124 0.000 1
Zr2 Zr 0.424 0.626 0.000 1
Zr3 Zr 0.937 0.768 0.000 1
Zr4 Zr 0.937 0.982 0.000 1
Zr5 Zr 0.909 0.125 0.500 1
Zr6 Zr 0.397 0.268 0.500 1
Zr7 Zr 0.397 0.482 0.500 1
Zr8 Zr 0.909 0.625 0.500 1
# - calculated total energy (eV per atom) = -8.209


What did the fourth record say?
# ZnFe (GGA-PBE, optimized geometry)
data_ZnFe
_chemical_formula_sum 'Zn6 Fe6'
_space_group_name_H-M_alt 'P 1'
_space_group_IT_number 1
_cell_length_a 4.408
_cell_length_b 7.978
_cell_length_c 4.269
_cell_angle_alpha 90.00
_cell_angle_beta 90.00
_cell_angle_gamma 90.01
loop_
_space_group_symop_operation_xyz
'x,y,z'
loop_
_atom_site_label
_atom_site_type_symbol
_atom_site_fract_x
_atom_site_fract_y
_atom_site_fract_z
_atom_site_occupancy
Fe1 Fe 0.751 0.011 0.000 1
Fe2 Fe 0.251 0.156 0.000 1
Fe3 Fe 0.409 0.008 0.500 1
Fe4 Fe 0.909 0.159 0.500 1
Fe5 Fe 0.916 0.502 0.500 1
Fe6 Fe 0.416 0.664 0.500 1
Zn1 Zn 0.764 0.329 0.000 1
Zn2 Zn 0.252 0.501 0.000 1
Zn3 Zn 0.752 0.665 0.000 1
Zn4 Zn 0.263 0.838 0.000 1
Zn5 Zn 0.409 0.332 0.500 1
Zn6 Zn 0.909 0.834 0.500 1
# - calculated total energy (eV per atom) = -4.739